No. 1
This record from the Alexandria database describes TaCo2Se after structural relaxation. The functional is PBE.

Output
- crystal system = tetragonal
- formation energy without anion corrections (eV per atom) = -0.1002
- space-group type = P4/mmm

Cell lengths 3.2589, 3.2589, 5.2537 Å; angles 90.00, 90.00, 90.00 degrees
Fractional positions:
Ta  0.0000  0.0000  0.0000
Co  0.5000  0.5000  0.2406
Co  0.5000  0.5000  0.7594
Se  0.0000  0.0000  0.5000


No. 2
This record from the Alexandria database describes Ce2ErSc after structural relaxation. The functional is PBE.

Output
- crystal system = tetragonal
- space-group type = P4/mmm
- energy relative to the lowest polymorph listed for this composition (meV/atom) = 17

Cell lengths 3.3870, 3.3870, 9.8170 Å; angles 90.00, 90.00, 90.00 degrees
Fractional positions:
Ce  0.0000  0.0000  0.2416
Ce  0.0000  0.0000  0.7584
Er  0.5000  0.5000  0.5000
Sc  0.5000  0.5000  0.0000


No. 3
This record from the Alexandria database describes Co2HgMo after structural relaxation. The functional is PBE.

Output
- crystal system = monoclinic
- space-group type = C2/m

Cell lengths 4.4672, 4.4672, 5.1267 Å; angles 98.53, 98.53, 36.17 degrees
Fractional positions:
Co  0.2440  0.2440  0.1958
Co  0.7560  0.7560  0.8042
Hg  0.0000  0.0000  0.5000
Mo  0.5000  0.5000  0.0000


No. 4
This record from the Alexandria database describes SnTeH after structural relaxation. The functional is PBE.

Output
- crystal system = tetragonal
- space-group type = I4mm

Cell lengths 4.7917, 4.7917, 4.7917 Å; angles 124.59, 124.59, 82.22 degrees
Fractional positions:
Sn  0.0000  0.0000  0.0000
Te  0.5553  0.5553  0.0000
H  0.2666  0.2666  0.0000


No. 5
This record from the Alexandria database describes La2Tb2PmSm2 after structural relaxation. The functional is PBE.

Output
- crystal system = monoclinic
- space-group type = C2/m

Cell lengths 6.3187, 6.3187, 8.1728 Å; angles 97.32, 97.32, 48.16 degrees
Fractional positions:
La  0.1424  0.1424  0.4264
La  0.8576  0.8576  0.5736
Tb  0.4291  0.4291  0.2834
Tb  0.5709  0.5709  0.7166
Pm  0.0000  0.0000  0.0000
Sm  0.2845  0.2845  0.8598
Sm  0.7155  0.7155  0.1402


No. 6
This record from the Alexandria database describes Pr3ZnAu3 after structural relaxation. The functional is PBE.

Output
- crystal system = orthorhombic
- space-group type = Imm2

Cell lengths 10.4378, 10.4378, 10.4378 Å; angles 158.56, 154.38, 33.64 degrees
Fractional positions:
Pr  0.0000  0.0000  0.0000
Pr  0.3710  0.3710  0.0000
Pr  0.6811  0.1811  0.5000
Zn  0.2520  0.7520  0.5000
Au  0.1231  0.6231  0.5000
Au  0.5348  0.5348  0.0000
Au  0.8261  0.8261  0.0000


No. 7
This record from the Alexandria database describes AcTbHo6 after structural relaxation. The functional is PBE.

Output
- crystal system = tetragonal
- space-group type = P4/mmm
- energy relative to the lowest polymorph listed for this composition (meV/atom) = 0

Cell lengths 5.0698, 5.0698, 10.1409 Å; angles 90.00, 90.00, 90.00 degrees
Fractional positions:
Ac  0.0000  0.0000  0.0000
Tb  0.0000  0.0000  0.5000
Ho  0.0000  0.5000  0.2584
Ho  0.0000  0.5000  0.7416
Ho  0.5000  0.0000  0.2584
Ho  0.5000  0.0000  0.7416
Ho  0.5000  0.5000  0.0000
Ho  0.5000  0.5000  0.5000


No. 8
This record from the Alexandria database describes Cd2InAg after structural relaxation. The functional is PBE.

Output
- crystal system = orthorhombic
- space-group type = Cmmm

Cell lengths 3.2328, 3.2328, 8.5515 Å; angles 90.00, 90.00, 90.11 degrees
Fractional positions:
Cd  0.0000  0.0000  0.2237
Cd  0.0000  0.0000  0.7763
In  0.5000  0.5000  0.5000
Ag  0.5000  0.5000  0.0000


Number 1: DFT total energy -7.4874 eV per atom. Number 2: DFT total energy -5.5885 eV per atom. Number 3: DFT total energy -5.9122 eV per atom. Number 4: DFT total energy -3.4262 eV per atom. Number 5: DFT total energy -4.7345 eV per atom. Number 6: DFT total energy -4.3174 eV per atom. Number 7: DFT total energy -4.4803 eV per atom. Number 8: DFT total energy -1.8481 eV per atom.